First-principles (PBE) data for a relaxed structure of LiCaH2SeF, as listed in Alexandria. Values from VASP.

Space group: No. 156
Electronic total energy, eV per formula unit: -24.9
Calculated volume, Å³ per atom: 14.17

Geometry as Quantum ESPRESSO input:
```
&SYSTEM
  ibrav = 0, nat = 6, ntyp = 5
/
ATOMIC_SPECIES
Li 6.94 Li.upf
Ca 40.08 Ca.upf
H 1.01 H.upf
Se 78.96 Se.upf
F 19.00 F.upf
CELL_PARAMETERS angstrom
4.095 0.000 0.000
-2.048 3.547 0.000
0.000 0.000 5.852
ATOMIC_POSITIONS angstrom
Li 0.000 0.000 0.000
Ca 0.000 2.364 2.873
H 2.048 1.182 3.776
H 2.048 1.182 4.544
Se 2.048 1.182 1.111
F 0.000 0.000 3.865
```

---

First-principles (PBE) data for a relaxed structure of LiCaH2SeF, as listed in Alexandria. Values from VASP.

Space group: No. 25
Electronic total energy, eV per formula unit: -25.0
Calculated volume, Å³ per atom: 15.30

Geometry as Quantum ESPRESSO input:
```
&SYSTEM
  ibrav = 0, nat = 6, ntyp = 5
/
ATOMIC_SPECIES
Li 6.94 Li.upf
Ca 40.08 Ca.upf
H 1.01 H.upf
Se 78.96 Se.upf
F 19.00 F.upf
CELL_PARAMETERS angstrom
3.750 0.000 0.000
0.000 3.943 0.000
0.000 0.000 6.206
ATOMIC_POSITIONS angstrom
Li 0.000 0.000 0.000
Ca 1.875 0.000 3.298
H 1.496 1.972 1.485
H 2.254 1.972 1.485
Se 0.000 1.972 4.621
F 0.000 0.000 1.833
```

---

First-principles (PBE) data for a relaxed structure of LiCaH2SeF, as listed in Alexandria. Values from VASP.

Space group: No. 1
Electronic total energy, eV per formula unit: -24.1
Calculated volume, Å³ per atom: 16.21

Geometry as Quantum ESPRESSO input:
```
&SYSTEM
  ibrav = 0, nat = 6, ntyp = 5
/
ATOMIC_SPECIES
Li 6.94 Li.upf
Ca 40.08 Ca.upf
H 1.01 H.upf
Se 78.96 Se.upf
F 19.00 F.upf
CELL_PARAMETERS angstrom
3.861 0.000 0.000
1.753 3.452 0.000
0.454 0.284 7.296
ATOMIC_POSITIONS angstrom
Li 0.000 0.000 0.000
Ca 3.648 2.248 2.866
H 5.071 3.095 5.638
H 5.467 3.358 1.773
Se 3.831 2.356 6.007
F 1.748 1.076 3.265
```

---

First-principles (PBE) data for a relaxed structure of LiCaH2SeF, as listed in Alexandria. Values from VASP.

Space group: No. 1
Electronic total energy, eV per formula unit: -25.2
Calculated volume, Å³ per atom: 17.94

Geometry as Quantum ESPRESSO input:
```
&SYSTEM
  ibrav = 0, nat = 6, ntyp = 5
/
ATOMIC_SPECIES
Li 6.94 Li.upf
Ca 40.08 Ca.upf
H 1.01 H.upf
Se 78.96 Se.upf
F 19.00 F.upf
CELL_PARAMETERS angstrom
3.956 0.000 0.000
-1.972 3.430 0.000
-0.254 -1.165 7.935
ATOMIC_POSITIONS angstrom
Li 0.000 0.000 0.000
Ca -0.001 2.285 2.681
H 1.642 1.470 5.981
H 1.750 2.160 5.688
Se 1.976 1.142 0.855
F -0.005 0.003 3.534
```

---

First-principles (PBE) data for a relaxed structure of LiCaH2SeF, as listed in Alexandria. Values from VASP.

Space group: No. 8
Electronic total energy, eV per formula unit: -25.2
Calculated volume, Å³ per atom: 17.85

Geometry as Quantum ESPRESSO input:
```
&SYSTEM
  ibrav = 0, nat = 6, ntyp = 5
/
ATOMIC_SPECIES
Li 6.94 Li.upf
Ca 40.08 Ca.upf
H 1.01 H.upf
Se 78.96 Se.upf
F 19.00 F.upf
CELL_PARAMETERS angstrom
3.421 -1.985 0.000
3.421 1.985 0.000
-2.900 0.000 7.887
ATOMIC_POSITIONS angstrom
Li 0.000 0.000 0.000
Ca 4.570 0.000 2.672
H 3.752 0.378 5.728
H 3.752 -0.378 5.728
Se 2.288 0.000 0.842
F 0.008 0.000 3.518
```

---

First-principles (PBE) data for a relaxed structure of LiCaH2SeF, as listed in Alexandria. Values from VASP.

Space group: No. 1
Electronic total energy, eV per formula unit: -24.3
Calculated volume, Å³ per atom: 15.87

Geometry as Quantum ESPRESSO input:
```
&SYSTEM
  ibrav = 0, nat = 6, ntyp = 5
/
ATOMIC_SPECIES
Li 6.94 Li.upf
Ca 40.08 Ca.upf
H 1.01 H.upf
Se 78.96 Se.upf
F 19.00 F.upf
CELL_PARAMETERS angstrom
4.063 0.000 0.000
0.014 4.264 0.000
2.025 1.781 5.496
ATOMIC_POSITIONS angstrom
Li 0.000 0.000 0.000
Ca 4.061 1.993 2.627
H 4.036 4.479 4.749
H 4.065 4.097 1.905
Se 2.031 1.624 0.275
F 2.029 1.644 3.607
```